Entry from Alexandria via LeMat-Bulk: an optimized crystal structure of La2TeIr (PBE).

Calculated values
Calculated density (Mg/m³): 7.83
Calculated volume (Å³ per cell): 126.70
E_form (uncorrected) (kJ per mole of atoms): -97
Electronic total energy (eV per atom): -6.465

a = 4.3977 Å, b = 4.3977 Å, c = 6.5514 Å
α = 90.00°, β = 90.00°, γ = 90.00°
With the nearest neighbours (Å) after each atom.
Fractional coordinates of all 4 atoms:
La 0.0000 0.0000 0.0000  4 Ir 3.11, 2 Te 3.22-3.33
La 0.5000 0.5000 0.4083  1 Ir 2.59
Te 0.0000 0.0000 0.5081  6 La 3.18-3.33
Ir 0.5000 0.5000 0.0126  1 La 2.59

***

Entry from Alexandria via LeMat-Bulk: an optimized crystal structure of La4TeIr (PBE).

Calculated values
Calculated density (Mg/m³): 6.88
Calculated volume (Å³ per cell): 422.61
E_form (uncorrected) (kJ per mole of atoms): -72
Electronic total energy (eV per atom): -6.031
Offset from the most stable computed form (meV/atom): 0

a = 8.8843 Å, b = 8.8843 Å, c = 7.1943 Å
α = 107.30°, β = 107.30°, γ = 115.97°
With the nearest neighbours (Å) after each atom.
Fractional coordinates of all 12 atoms:
La 0.0782 0.6544 0.8845  1 Ir 2.84
La 0.1792 0.2723 0.7190  2 Ir 2.84-2.92
La 0.2723 0.1792 0.2190  2 Ir 2.84-2.92
La 0.3456 0.9218 0.6155  1 Ir 2.84
La 0.6544 0.0782 0.3845  1 Ir 2.84
La 0.7277 0.8208 0.7810  2 Ir 2.84-2.92
La 0.8208 0.7277 0.2810  2 Ir 2.84-2.92
La 0.9218 0.3456 0.1155  1 Ir 2.84
Te 0.3858 0.6142 0.2500  8 La 3.35-3.46
Te 0.6142 0.3858 0.7500  8 La 3.35-3.46
Ir 0.0767 0.9233 0.7500  6 La 2.84-2.92
Ir 0.9233 0.0767 0.2500  6 La 2.84-2.92

***

Entry from Alexandria via LeMat-Bulk: an optimized crystal structure of La2TeIr (PBE).

Calculated values
Calculated density (Mg/m³): 9.40
Calculated volume (Å³ per cell): 105.58
E_form (uncorrected) (kJ per mole of atoms): -75
Electronic total energy (eV per atom): -6.247

a = 6.3394 Å, b = 6.3394 Å, c = 6.3394 Å
α = 139.71°, β = 139.71°, γ = 58.30°
With the nearest neighbours (Å) after each atom.
Fractional coordinates of all 4 atoms:
La 0.0000 0.0000 0.0000  4 Ir 3.09
La 0.7500 0.2500 0.5000  4 Te 3.09
Te 0.2500 0.7500 0.5000  4 La 3.09
Ir 0.5000 0.5000 0.0000  4 La 3.09

***

Entry from Alexandria via LeMat-Bulk: an optimized crystal structure of LaTe2Ir (PBE).

Calculated values
Calculated density (Mg/m³): 9.34
Calculated volume (Å³ per cell): 104.21
E_form (uncorrected) (kJ per mole of atoms): -49
Electronic total energy (eV per atom): -5.525
Offset from the most stable computed form (meV/atom): 286

a = 3.9415 Å, b = 3.9415 Å, c = 6.7078 Å
α = 90.00°, β = 90.00°, γ = 90.00°
With the nearest neighbours (Å) after each atom.
Fractional coordinates of all 4 atoms:
La 0.0000 0.0000 0.0000  5 Te 3.05-3.15
Te 0.0000 0.0000 0.5447  4 Ir 2.86, 1 La 3.05
Te 0.5000 0.5000 0.2198  1 Ir 2.80
Ir 0.5000 0.5000 0.6373  5 Te 2.80-2.86

***

Entry from Alexandria via LeMat-Bulk: an optimized crystal structure of LaThTeIr (PBE).

Calculated values
Calculated density (Mg/m³): 9.49
Calculated volume (Å³ per cell): 120.91
E_form (uncorrected) (kJ per mole of atoms): -110
Electronic total energy (eV per atom): -7.232

a = 8.1952 Å, b = 8.1952 Å, c = 8.1952 Å
α = 29.87°, β = 29.87°, γ = 29.87°
With the nearest neighbours (Å) after each atom.
Fractional coordinates of all 4 atoms:
La 0.0000 0.0000 0.0000  3 Ir 2.98
Th 0.8019 0.8019 0.8019  3 Ir 2.85
Te 0.2324 0.2324 0.2324  3 Th 3.34, 3 La 3.40
Ir 0.4061 0.4061 0.4061  3 Th 2.85, 3 La 2.98

***

Entry from Alexandria via LeMat-Bulk: an optimized crystal structure of La2Th2Ir3 (PBE).

Calculated values
Calculated density (Mg/m³): 10.92
Calculated volume (Å³ per cell): 200.56
DFT formation energy (eV per atom): -0.781
Electronic total energy (eV per atom): -8.106

a = 7.5488 Å, b = 7.5488 Å, c = 7.3242 Å
α = 117.02°, β = 117.02°, γ = 33.07°
With the nearest neighbours (Å) after each atom.
Fractional coordinates of all 7 atoms:
La 0.1313 0.1313 0.4730  4 Ir 2.89-3.06
La 0.8687 0.8687 0.5270  4 Ir 2.89-3.06
Th 0.3725 0.3725 0.0354  5 Ir 2.86-2.92
Th 0.6275 0.6275 0.9646  5 Ir 2.86-2.92
Ir 0.0000 0.0000 0.0000  4 Th 2.92, 2 La 3.06, 2 Ir 3.11
Ir 0.2442 0.2442 0.2358  3 Th 2.86-2.87, 3 La 2.89-2.96, 1 Ir 3.11
Ir 0.7558 0.7558 0.7642  3 Th 2.86-2.87, 3 La 2.89-2.96, 1 Ir 3.11

***

Entry from Alexandria via LeMat-Bulk: an optimized crystal structure of LaTh2Ir (PBE).

Calculated values
Calculated density (Mg/m³): 9.56
Calculated volume (Å³ per cell): 138.12
DFT formation energy (eV per atom): -0.191
Electronic total energy (eV per atom): -7.348
Offset from the most stable computed form (meV/atom): 306

a = 10.6124 Å, b = 10.6124 Å, c = 10.6124 Å
α = 21.30°, β = 21.30°, γ = 21.30°
With the nearest neighbours (Å) after each atom.
Fractional coordinates of all 4 atoms:
La 0.0000 0.0000 0.0000  2 Th 3.49
Th 0.1122 0.1122 0.1122  3 Ir 2.83
Th 0.8878 0.8878 0.8878  3 Ir 2.83
Ir 0.5000 0.5000 0.5000  6 Th 2.83

***

Entry from Alexandria via LeMat-Bulk: an optimized crystal structure of La8ThIr6 (PBE).

Calculated values
Calculated density (Mg/m³): 10.13
Calculated volume (Å³ per cell): 409.18
DFT formation energy (eV per atom): -0.657
Electronic total energy (eV per atom): -7.324

a = 8.3515 Å, b = 8.3515 Å, c = 8.3515 Å
α = 59.71°, β = 59.71°, γ = 59.71°
With the nearest neighbours (Å) after each atom.
Fractional coordinates of all 15 atoms:
La 0.0496 0.3884 0.7207  3 Ir 2.95-3.06
La 0.1655 0.1655 0.1655  6 Ir 3.06-3.07
La 0.2793 0.9504 0.6116  3 Ir 2.95-3.06
La 0.3884 0.7207 0.0496  3 Ir 2.95-3.06
La 0.6116 0.2793 0.9504  3 Ir 2.95-3.06
La 0.7207 0.0496 0.3884  3 Ir 2.95-3.06
La 0.8345 0.8345 0.8345  6 Ir 3.06-3.07
La 0.9504 0.6116 0.2793  3 Ir 2.95-3.06
Th 0.5000 0.5000 0.5000  6 Ir 2.93
Ir 0.1192 0.7633 0.4420  1 Th 2.93, 5 La 2.95-3.07
Ir 0.2367 0.5580 0.8808  1 Th 2.93, 5 La 2.95-3.07
Ir 0.4420 0.1192 0.7633  1 Th 2.93, 5 La 2.95-3.07
Ir 0.5580 0.8808 0.2367  1 Th 2.93, 5 La 2.95-3.07
Ir 0.7633 0.4420 0.1192  1 Th 2.93, 5 La 2.95-3.07
Ir 0.8808 0.2367 0.5580  1 Th 2.93, 5 La 2.95-3.07